[1]
# Al2SiAg | the Alexandria database | PBE-GGA | optimized geometry
# Spin magnetization   0.00 Bohr magnetons per cell
# Uncorrected formation energy   0.194 eV per atom
data_Al2SiAg
_chemical_formula_sum 'Al4 Si2 Ag2'
_cell_length_a 3.9923
_cell_length_b 3.9923
_cell_length_c 8.4046
_cell_angle_alpha 90.00
_cell_angle_beta 90.00
_cell_angle_gamma 90.00
_space_group_name_H-M_alt 'I -4 m 2'
_space_group_IT_number 119
_space_group_name_Hall 'I -4 -2'
loop_
_atom_site_label
_atom_site_type_symbol
_atom_site_fract_x
_atom_site_fract_y
_atom_site_fract_z
Al1 Al 0.0000 0.0000 0.0000
Al2 Al 0.0000 0.5000 0.2500
Si1 Si 0.0000 0.5000 0.7500
Ag1 Ag 0.0000 0.0000 0.5000

[2]
# Al2SiAg | the Alexandria database | PBE-GGA | optimized geometry
# Spin magnetization   0.00 Bohr magnetons per cell
# Uncorrected formation energy   0.135 eV per atom
data_Al2SiAg
_chemical_formula_sum 'Al4 Si2 Ag2'
_cell_length_a 9.2675
_cell_length_b 2.9200
_cell_length_c 5.0231
_cell_angle_alpha 90.00
_cell_angle_beta 102.64
_cell_angle_gamma 90.00
_space_group_name_H-M_alt 'C 1 m 1'
_space_group_IT_number 8
_space_group_name_Hall 'C -2y'
loop_
_atom_site_label
_atom_site_type_symbol
_atom_site_fract_x
_atom_site_fract_y
_atom_site_fract_z
Al1 Al 0.0000 0.0000 0.0000
Al2 Al 0.2443 0.0000 0.7218
Si1 Si 0.2491 0.5000 0.1973
Ag1 Ag 0.4922 0.0000 0.5005

[3]
# Al2SiAg | the Alexandria database | PBE-GGA | optimized geometry
# Spin magnetization   0.00 Bohr magnetons per cell
# Uncorrected formation energy   0.076 eV per atom
data_Al2SiAg
_chemical_formula_sum 'Al6 Si3 Ag3'
_cell_length_a 3.1109
_cell_length_b 3.1109
_cell_length_c 23.9620
_cell_angle_alpha 90.00
_cell_angle_beta 90.00
_cell_angle_gamma 120.00
_space_group_name_H-M_alt 'R -3 m'
_space_group_IT_number 166
_space_group_name_Hall '-R 3 2"'
loop_
_atom_site_label
_atom_site_type_symbol
_atom_site_fract_x
_atom_site_fract_y
_atom_site_fract_z
Al1 Al 0.0000 0.0000 0.2455
Si1 Si 0.0000 0.0000 0.5000
Ag1 Ag 0.0000 0.0000 0.0000

[4]
# AlSi2Ag | the Alexandria database | PBE-GGA | optimized geometry
# Spin magnetization   0.00 Bohr magnetons per cell
# Uncorrected formation energy   0.320 eV per atom
data_AlSi2Ag
_chemical_formula_sum 'Al2 Si4 Ag2'
_cell_length_a 5.3150
_cell_length_b 10.0740
_cell_length_c 2.9275
_cell_angle_alpha 90.00
_cell_angle_beta 122.35
_cell_angle_gamma 90.00
_space_group_name_H-M_alt 'C 1 2/m 1'
_space_group_IT_number 12
_space_group_name_Hall '-C 2y'
loop_
_atom_site_label
_atom_site_type_symbol
_atom_site_fract_x
_atom_site_fract_y
_atom_site_fract_z
Al1 Al 0.0000 0.0000 0.0000
Si1 Si 0.2500 0.2500 0.0000
Ag1 Ag 0.0000 0.5000 0.0000

[5]
# AlSiAg2 | the Alexandria database | PBE-GGA | optimized geometry
# Spin magnetization   0.00 Bohr magnetons per cell
# Uncorrected formation energy   0.155 eV per atom
data_AlSiAg2
_chemical_formula_sum 'Al1 Si1 Ag2'
_cell_length_a 3.1303
_cell_length_b 4.5626
_cell_length_c 4.7350
_cell_angle_alpha 90.00
_cell_angle_beta 90.00
_cell_angle_gamma 90.00
_space_group_name_H-M_alt 'P m m 2'
_space_group_IT_number 25
_space_group_name_Hall 'P 2 -2'
loop_
_atom_site_label
_atom_site_type_symbol
_atom_site_fract_x
_atom_site_fract_y
_atom_site_fract_z
Al1 Al 0.0000 0.0000 0.0000
Si1 Si 0.5000 0.5000 0.8364
Ag1 Ag 0.0000 0.5000 0.3194
Ag2 Ag 0.5000 0.0000 0.5182

[6]
# AlSiAg4 | the Alexandria database | PBE-GGA | optimized geometry
# Spin magnetization   0.00 Bohr magnetons per cell
# Uncorrected formation energy   0.380 eV per atom
data_AlSiAg4
_chemical_formula_sum 'Al4 Si4 Ag16'
_cell_length_a 7.6959
_cell_length_b 7.6959
_cell_length_c 7.6959
_cell_angle_alpha 90.00
_cell_angle_beta 90.00
_cell_angle_gamma 90.00
_space_group_name_H-M_alt 'F -4 3 m'
_space_group_IT_number 216
_space_group_name_Hall 'F -4 2 3'
loop_
_atom_site_label
_atom_site_type_symbol
_atom_site_fract_x
_atom_site_fract_y
_atom_site_fract_z
Al1 Al 0.0000 0.0000 0.0000
Si1 Si 0.2500 0.2500 0.7500
Ag1 Ag 0.1251 0.1251 0.3749